Entry 1:
The following is a DFT calculation (PBE) of a relaxed structure of Tb2Pa2Se5.

The formation energy without anion corrections is -1241 meV per atom. As for the space group: P-3m1, No. 164.

```
Tb2Pa2Se5
1.0
-3.049 2.632 -0.499
0.361 -2.051 3.483
11.009 14.112 7.170
Tb Pa Se
2 2 5
Cartesian
5.702 7.813 6.374 Tb
2.620 6.880 3.780 Tb
1.198 2.040 3.441 Pa
7.123 12.653 6.713 Pa
5.505 7.056 3.585 Se
2.829 4.131 4.504 Se
5.492 10.562 5.651 Se
9.168 12.257 8.632 Se
-0.847 2.436 1.522 Se
```

=====

Entry 2:
The following is a DFT calculation (PBE) of a relaxed structure of PmTlInAg.

The value obtained for the formation energy is -0.250 eV per atom. As for the space group: F-43m, No. 216.

```
PmTlInAg
1.0
-3.439 3.911 0.219
-4.655 -0.744 2.224
-1.095 2.255 4.570
Tl In Ag Pm
1 1 1 1
Cartesian
-6.892 4.067 5.259 Tl
-4.595 2.711 3.506 In
-2.297 1.356 1.753 Ag
0.000 0.000 0.000 Pm
```

=====

Entry 3:
The following is a DFT calculation (PBE) of a relaxed structure of SrCaNiTe.

The formation energy without anion corrections is -519 meV per atom. As for the space group: F-43m, No. 216.

```
SrCaNiTe
1.0
-0.495 -3.595 -3.926
3.315 -4.188 -0.223
-1.818 -4.909 1.085
Sr Ca Te Ni
1 1 1 1
Cartesian
0.501 -6.346 -1.532 Sr
0.000 0.000 0.000 Ca
0.251 -3.173 -0.766 Te
0.752 -9.519 -2.298 Ni
```

=====

Entry 4:
The following is a DFT calculation (PBE) of a relaxed structure of CeYSnPd.

The value obtained for the formation energy is -0.624 eV per atom. As for the space group: F-43m, No. 216.

```
CeYSnPd
1.0
5.246 0.000 0.000
2.623 4.543 0.000
2.623 1.514 4.283
Y Pd Sn Ce
1 1 1 1
Cartesian
7.868 4.543 3.212 Y
5.246 3.029 2.142 Pd
0.000 0.000 0.000 Sn
2.623 1.514 1.071 Ce
```

=====

Entry 5:
The following is a DFT calculation (PBE) of a relaxed structure of LiIr2Au.

The value obtained for the formation energy is 0.334 eV per atom. As for the space group: P4/mmm, No. 123. As for the energy above the most stable polymorph in this dataset: 383.4 meV per atom.

```
LiIr2Au
1.0
-0.752 1.385 -2.166
-1.228 -2.176 -0.965
-7.114 2.274 3.926
Au Ir Li
1 2 1
Cartesian
-6.326 1.310 1.379 Au
-0.086 0.028 0.048 Ir
-3.471 1.109 1.916 Ir
-2.769 0.173 -0.584 Li
```

=====

Entry 6:
The following is a DFT calculation (PBE) of a relaxed structure of Dy2ThGe2.

The value obtained for the formation energy is -0.690 eV per atom. As for the space group: P4/mbm, No. 127. As for the energy above the most stable polymorph in this dataset: 0.0 meV per atom.

```
Dy2ThGe2
1.0
-3.547 0.271 -1.721
3.282 -1.832 -7.051
-1.282 -7.758 1.419
Dy Th Ge
4 2 4
Cartesian
1.738 -3.837 -4.185 Dy
1.677 -8.040 -4.722 Dy
0.323 -1.550 -0.910 Dy
0.263 -5.752 -1.447 Dy
-0.133 -0.780 -4.386 Th
-2.414 -3.743 -0.151 Th
-1.050 -3.333 -2.898 Ge
0.877 -2.516 -6.740 Ge
-2.424 -6.803 -0.613 Ge
-0.497 -5.985 -4.455 Ge
```

=====

| no. | spin magnetization (μB/cell) |
| --- | --- |
| 1 | 4.68 |
| 2 | 0.00 |
| 3 | 0.00 |
| 4 | 1.20 |
| 5 | 0.00 |
| 6 | 0.00 |